(1)
Material: CrMoF3
Method: DFT, GGA+U
State: optimized geometry

abc: 4.371 4.371 4.371
angles: 90.00 90.00 90.00
Space group Pm-3m (No. 221)
Asymmetric unit:
Cr 0.000 0.000 0.000 [1 per cell]
Mo 0.500 0.500 0.500 [1 per cell]
F 0.000 0.500 0.500 [3 per cell]

Raw total energy: -5.521 eV per atom

---

(2)
Material: Cr2MoF
Method: DFT, GGA+U
State: optimized geometry

abc: 6.879 6.879 6.068
angles: 90.00 90.00 90.00
Space group I-42d (No. 122)
Asymmetric unit:
Cr 0.173 0.750 0.125 [8 per cell]
Mo 0.000 0.000 0.500 [4 per cell]
F 0.000 0.000 0.000 [4 per cell]

Excess energy over the best structure of this formula in the dataset: 0.000 eV per atom

---

(3)
Material: Cr2MoF
Method: DFT, GGA+U
State: optimized geometry

abc: 6.539 6.539 6.539
angles: 90.00 90.00 90.00
Space group Fm-3m (No. 225)
Asymmetric unit:
Cr 0.250 0.250 0.250 [8 per cell]
Mo 0.000 0.000 0.000 [4 per cell]
F 0.000 0.000 0.500 [4 per cell]

Excess energy over the best structure of this formula in the dataset: 0.229 eV per atom

---

(4)
Material: Cr4MoF12
Method: DFT, GGA+U
State: optimized geometry

abc: 7.784 7.801 8.258
angles: 90.00 90.00 90.00
Space group Immm (No. 71)
Asymmetric unit:
Cr 0.250 0.250 0.250 [8 per cell]
Mo 0.000 0.000 0.000 [2 per cell]
F 0.000 0.288 0.277 [8 per cell]
F 0.199 0.201 0.000 [8 per cell]
F 0.209 0.000 0.281 [8 per cell]

Raw total energy: -6.007 eV per atom